1.
# P3Pt, relaxed, DFT GGA-PBE
# ΔE to the lowest computed polymorph (meV/atom): 414
# Density of states at the Fermi level (states/eV per atom): 0.44
data_P3Pt
_cell_length_a 3.2814
_cell_length_b 3.2814
_cell_length_c 6.5752
_cell_angle_alpha 90.00
_cell_angle_beta 90.00
_cell_angle_gamma 120.00
_space_group_name_H-M_alt 'P -6 m 2'
_space_group_IT_number 187
_space_group_name_Hall 'P -6 2'
loop_
_atom_site_label
_atom_site_fract_x
_atom_site_fract_y
_atom_site_fract_z
P1 0.0000 0.0000 0.0000
P2 0.3333 0.6667 0.2472
Pt1 0.0000 0.0000 0.5000



2.
# P3Pt, relaxed, DFT GGA-PBE
# ΔE to the lowest computed polymorph (meV/atom): 83
# Density of states at the Fermi level (states/eV per atom): 0.40
data_P3Pt
_cell_length_a 4.920
_cell_length_b 4.920
_cell_length_c 4.920
_cell_angle_alpha 90.00
_cell_angle_beta 90.00
_cell_angle_gamma 90.00
_space_group_name_H-M_alt 'I m -3 m'
_space_group_IT_number 229
_space_group_name_Hall '-I 4 2 3'
loop_
_atom_site_label
_atom_site_fract_x
_atom_site_fract_y
_atom_site_fract_z
P1 0.000 0.000 0.500
Pt1 0.000 0.000 0.000



3.
# P3Pt, relaxed, DFT GGA-PBE
# ΔE to the lowest computed polymorph (meV/atom): 0
# Density of states at the Fermi level (states/eV per atom): 0.32
data_P3Pt
_cell_length_a 4.733
_cell_length_b 6.945
_cell_length_c 3.839
_cell_angle_alpha 90.00
_cell_angle_beta 90.00
_cell_angle_gamma 90.00
_space_group_name_H-M_alt 'P m m n'
_space_group_IT_number 59
loop_
_space_group_symop_operation_xyz
'x,y,z'
'-x,-y,-z'
'-x+1/2,-y+1/2,z'
'x+1/2,y+1/2,-z'
'x+1/2,-y,-z'
'-x+1/2,y,z'
'-x,y+1/2,-z'
'x,-y+1/2,z'
loop_
_atom_site_label
_atom_site_fract_x
_atom_site_fract_y
_atom_site_fract_z
P1 0.250 0.022 0.036
P2 0.250 0.750 0.363
Pt1 0.250 0.250 0.510



4.
# P3Pt, relaxed, DFT GGA-PBE
# ΔE to the lowest computed polymorph (meV/atom): 165
# Density of states at the Fermi level (states/eV per atom): 0.21
data_P3Pt
_cell_length_a 3.647
_cell_length_b 9.877
_cell_length_c 4.529
_cell_angle_alpha 90.00
_cell_angle_beta 90.00
_cell_angle_gamma 90.00
_space_group_name_H-M_alt 'I m m 2'
_space_group_IT_number 44
loop_
_space_group_symop_operation_xyz
'x,y,z'
'-x,-y,z'
'-x,y,z'
'x,-y,z'
'x+1/2,y+1/2,z+1/2'
'-x+1/2,-y+1/2,z+1/2'
'-x+1/2,y+1/2,z+1/2'
'x+1/2,-y+1/2,z+1/2'
loop_
_atom_site_label
_atom_site_fract_x
_atom_site_fract_y
_atom_site_fract_z
P1 0.000 0.000 0.000
P2 0.000 0.123 0.590
Pt1 0.000 0.500 0.825



5.
# P5Pt3, relaxed, DFT GGA-PBE
# ΔE to the lowest computed polymorph (meV/atom): 0
# Density of states at the Fermi level (states/eV per atom): 0.44
data_P5Pt3
_cell_length_a 7.7903
_cell_length_b 7.7903
_cell_length_c 4.8608
_cell_angle_alpha 90.00
_cell_angle_beta 90.00
_cell_angle_gamma 120.00
_space_group_name_H-M_alt 'P 63/m c m'
_space_group_IT_number 193
_space_group_name_Hall '-P 6c 2'
loop_
_atom_site_label
_atom_site_fract_x
_atom_site_fract_y
_atom_site_fract_z
P1 0.0000 0.2776 0.2500
P2 0.3333 0.6667 0.0000
Pt1 0.0000 0.3773 0.7500



6.
# P3Pt, relaxed, DFT GGA-PBE
# ΔE to the lowest computed polymorph (meV/atom): 816
# Density of states at the Fermi level (states/eV per atom): 0.67
data_P3Pt
_cell_length_a 3.918
_cell_length_b 3.918
_cell_length_c 3.918
_cell_angle_alpha 90.00
_cell_angle_beta 90.00
_cell_angle_gamma 90.00
_space_group_name_H-M_alt 'P m -3 m'
_space_group_IT_number 221
_space_group_name_Hall '-P 4 2 3'
loop_
_atom_site_label
_atom_site_fract_x
_atom_site_fract_y
_atom_site_fract_z
P1 0.000 0.000 0.500
Pt1 0.500 0.500 0.500



7.
# P3Pt, relaxed, DFT GGA-PBE
# ΔE to the lowest computed polymorph (meV/atom): 701
# Density of states at the Fermi level (states/eV per atom): 0.44
data_P3Pt
_cell_length_a 3.005
_cell_length_b 4.712
_cell_length_c 8.360
_cell_angle_alpha 90.00
_cell_angle_beta 90.00
_cell_angle_gamma 90.00
_space_group_name_H-M_alt 'C m m m'
_space_group_IT_number 65
_space_group_name_Hall '-C 2 2'
loop_
_atom_site_label
_atom_site_fract_x
_atom_site_fract_y
_atom_site_fract_z
P1 0.000 0.000 0.000
P2 0.000 0.500 0.248
Pt1 0.000 0.000 0.500



8.
# P3Pt, relaxed, DFT GGA-PBE
# ΔE to the lowest computed polymorph (meV/atom): 709
# Density of states at the Fermi level (states/eV per atom): 0.45
data_P3Pt
_cell_length_a 2.848
_cell_length_b 4.038
_cell_length_c 5.498
_cell_angle_alpha 90.00
_cell_angle_beta 90.00
_cell_angle_gamma 90.00
_space_group_name_H-M_alt 'P m m m'
_space_group_IT_number 47
loop_
_space_group_symop_operation_xyz
'x,y,z'
'-x,-y,-z'
'-x,-y,z'
'x,y,-z'
'x,-y,-z'
'-x,y,z'
'-x,y,-z'
'x,-y,z'
loop_
_atom_site_label
_atom_site_fract_x
_atom_site_fract_y
_atom_site_fract_z
P1 0.000 0.000 0.000
P2 0.500 0.500 0.298
Pt1 0.000 0.000 0.500



9.
# P4Pt, relaxed, DFT GGA-PBE
# ΔE to the lowest computed polymorph (meV/atom): 1341
# Density of states at the Fermi level (states/eV per atom): 0.78
data_P4Pt
_cell_length_a 4.669
_cell_length_b 4.669
_cell_length_c 4.669
_cell_angle_alpha 90.00
_cell_angle_beta 90.00
_cell_angle_gamma 90.00
_space_group_name_H-M_alt 'P m -3 m'
_space_group_IT_number 221
_space_group_name_Hall '-P 4 2 3'
loop_
_atom_site_label
_atom_site_fract_x
_atom_site_fract_y
_atom_site_fract_z
P1 0.000 0.000 0.000
P2 0.000 0.500 0.500
Pt1 0.500 0.500 0.500



10.
# P3Pt5, relaxed, DFT GGA-PBE
# ΔE to the lowest computed polymorph (meV/atom): 247
# Density of states at the Fermi level (states/eV per atom): 0.57
data_P3Pt5
_cell_length_a 6.873
_cell_length_b 9.518
_cell_length_c 3.794
_cell_angle_alpha 90.00
_cell_angle_beta 90.00
_cell_angle_gamma 90.00
_space_group_name_H-M_alt 'C m m m'
_space_group_IT_number 65
_space_group_name_Hall '-C 2 2'
loop_
_atom_site_label
_atom_site_fract_x
_atom_site_fract_y
_atom_site_fract_z
P1 0.000 0.000 0.000
P2 0.000 0.319 0.500
Pt1 0.000 0.500 0.000
Pt2 0.205 0.000 0.500
Pt3 0.250 0.250 0.000



11.
# P3Pt, relaxed, DFT GGA-PBE
# ΔE to the lowest computed polymorph (meV/atom): 346
# Density of states at the Fermi level (states/eV per atom): 0.36
data_P3Pt
_cell_length_a 8.2837
_cell_length_b 8.2837
_cell_length_c 4.0212
_cell_angle_alpha 90.00
_cell_angle_beta 90.00
_cell_angle_gamma 120.00
_space_group_name_H-M_alt 'P 63/m m c'
_space_group_IT_number 194
_space_group_name_Hall '-P 6c 2c'
loop_
_atom_site_label
_atom_site_fract_x
_atom_site_fract_y
_atom_site_fract_z
P1 0.2399 0.4797 0.2500
Pt1 0.3333 0.6667 0.7500



12.
# Pu2PPt, relaxed, DFT GGA-PBE
# ΔE to the lowest computed polymorph (meV/atom): 0
# Density of states at the Fermi level (states/eV per atom): 4.91
data_Pu2PPt
_cell_length_a 3.9668
_cell_length_b 3.9668
_cell_length_c 20.7769
_cell_angle_alpha 90.00
_cell_angle_beta 90.00
_cell_angle_gamma 120.00
_space_group_name_H-M_alt 'R -3 m'
_space_group_IT_number 166
_space_group_name_Hall '-R 3 2"'
loop_
_atom_site_label
_atom_site_fract_x
_atom_site_fract_y
_atom_site_fract_z
Pu1 0.0000 0.0000 0.2473
P1 0.0000 0.0000 0.5000
Pt1 0.0000 0.0000 0.0000



13.
# PuP2Pt4, relaxed, DFT GGA-PBE
# Density of states at the Fermi level (states/eV per atom): 1.71
data_PuP2Pt4
_cell_length_a 7.784
_cell_length_b 7.784
_cell_length_c 3.842
_cell_angle_alpha 90.00
_cell_angle_beta 90.00
_cell_angle_gamma 90.00
_space_group_name_H-M_alt 'P 42/m n m'
_space_group_IT_number 136
_space_group_name_Hall '-P 4n 2n'
loop_
_atom_site_label
_atom_site_fract_x
_atom_site_fract_y
_atom_site_fract_z
Pu1 0.000 0.000 0.000
P1 0.224 0.224 0.500
Pt1 0.072 0.682 0.500



14.
# Pu2PPt, relaxed, DFT GGA-PBE
# ΔE to the lowest computed polymorph (meV/atom): 21
# Density of states at the Fermi level (states/eV per atom): 3.78
data_Pu2PPt
_cell_length_a 3.493
_cell_length_b 3.493
_cell_length_c 6.800
_cell_angle_alpha 90.00
_cell_angle_beta 90.00
_cell_angle_gamma 90.00
_space_group_name_H-M_alt 'P 4/m m m'
_space_group_IT_number 123
_space_group_name_Hall '-P 4 2'
loop_
_atom_site_label
_atom_site_fract_x
_atom_site_fract_y
_atom_site_fract_z
Pu1 0.000 0.000 0.234
P1 0.500 0.500 0.000
Pt1 0.500 0.500 0.500



15.
# PuP2Pt3, relaxed, DFT GGA-PBE
# Density of states at the Fermi level (states/eV per atom): 1.54
data_PuP2Pt3
_cell_length_a 14.619
_cell_length_b 3.701
_cell_length_c 9.323
_cell_angle_alpha 90.00
_cell_angle_beta 123.94
_cell_angle_gamma 90.00
_space_group_name_H-M_alt 'C 1 2/m 1'
_space_group_IT_number 12
loop_
_space_group_symop_operation_xyz
'x,y,z'
'-x,-y,-z'
'-x,y,-z'
'x,-y,z'
'x+1/2,y+1/2,z'
'-x+1/2,-y+1/2,-z'
'-x+1/2,y+1/2,-z'
'x+1/2,-y+1/2,z'
loop_
_atom_site_label
_atom_site_fract_x
_atom_site_fract_y
_atom_site_fract_z
Pu1 0.138 0.000 0.136
P1 0.011 0.500 0.184
P2 0.168 0.000 0.641
Pt1 0.012 0.000 0.665
Pt2 0.172 0.500 0.480
Pt3 0.173 0.500 0.906



16.
# Pu2PPt, relaxed, DFT GGA-PBE
# ΔE to the lowest computed polymorph (meV/atom): 93
# Density of states at the Fermi level (states/eV per atom): 3.52
data_Pu2PPt
_cell_length_a 5.650
_cell_length_b 11.521
_cell_length_c 5.536
_cell_angle_alpha 90.00
_cell_angle_beta 90.00
_cell_angle_gamma 90.00
_space_group_name_H-M_alt 'C m c m'
_space_group_IT_number 63
_space_group_name_Hall '-C 2c 2'
loop_
_atom_site_label
_atom_site_fract_x
_atom_site_fract_y
_atom_site_fract_z
Pu1 0.000 0.084 0.250
Pu2 0.000 0.368 0.250
P1 0.000 0.395 0.750
Pt1 0.000 0.187 0.750



17.
# Pu2P2Pt, relaxed, DFT GGA-PBE
# Density of states at the Fermi level (states/eV per atom): 3.60
data_Pu2P2Pt
_cell_length_a 10.683
_cell_length_b 4.076
_cell_length_c 10.135
_cell_angle_alpha 90.00
_cell_angle_beta 112.32
_cell_angle_gamma 90.00
_space_group_name_H-M_alt 'C 1 2/m 1'
_space_group_IT_number 12
loop_
_space_group_symop_operation_xyz
'x,y,z'
'-x,-y,-z'
'-x,y,-z'
'x,-y,z'
'x+1/2,y+1/2,z'
'-x+1/2,-y+1/2,-z'
'-x+1/2,y+1/2,-z'
'x+1/2,-y+1/2,z'
loop_
_atom_site_label
_atom_site_fract_x
_atom_site_fract_y
_atom_site_fract_z
Pu1 0.082 0.000 0.408
Pu2 0.194 0.500 0.154
P1 0.034 0.000 0.908
P2 0.168 0.500 0.630
Pt1 0.087 0.500 0.824



18.
# Pu3P3Pt, relaxed, DFT GGA-PBE
# Density of states at the Fermi level (states/eV per atom): 3.52
data_Pu3P3Pt
_cell_length_a 8.1199
_cell_length_b 8.1199
_cell_length_c 5.5407
_cell_angle_alpha 90.00
_cell_angle_beta 90.00
_cell_angle_gamma 120.00
_space_group_name_H-M_alt 'P 63/m'
_space_group_IT_number 176
_space_group_name_Hall '-P 6c'
loop_
_atom_site_label
_atom_site_fract_x
_atom_site_fract_y
_atom_site_fract_z
Pu1 0.0821 0.3953 0.2500
P1 0.0708 0.3491 0.7500
Pt1 0.3333 0.6667 0.7500



19.
# PuPPt6, relaxed, DFT GGA-PBE
# Density of states at the Fermi level (states/eV per atom): 1.55
data_PuPPt6
_cell_length_a 5.4939
_cell_length_b 5.4939
_cell_length_c 17.9957
_cell_angle_alpha 90.00
_cell_angle_beta 90.00
_cell_angle_gamma 120.00
_space_group_name_H-M_alt 'R -3 m'
_space_group_IT_number 166
_space_group_name_Hall '-R 3 2"'
loop_
_atom_site_label
_atom_site_fract_x
_atom_site_fract_y
_atom_site_fract_z
Pu1 0.0000 0.0000 0.0000
P1 0.0000 0.0000 0.5000
Pt1 0.0090 0.5045 0.9229



20.
# Pu3P4Pt2, relaxed, DFT GGA-PBE
# Density of states at the Fermi level (states/eV per atom): 2.64
data_Pu3P4Pt2
_cell_length_a 12.568
_cell_length_b 3.920
_cell_length_c 8.321
_cell_angle_alpha 90.00
_cell_angle_beta 122.56
_cell_angle_gamma 90.00
_space_group_name_H-M_alt 'C 1 2/m 1'
_space_group_IT_number 12
loop_
_space_group_symop_operation_xyz
'x,y,z'
'-x,-y,-z'
'-x,y,-z'
'x,-y,z'
'x+1/2,y+1/2,z'
'-x+1/2,-y+1/2,-z'
'-x+1/2,y+1/2,-z'
'x+1/2,-y+1/2,z'
loop_
_atom_site_label
_atom_site_fract_x
_atom_site_fract_y
_atom_site_fract_z
Pu1 0.000 0.000 0.000
Pu2 0.135 0.500 0.722
P1 0.068 0.000 0.383
P2 0.181 0.500 0.091
Pt1 0.167 0.500 0.366



21.
# PuPPt4, relaxed, DFT GGA-PBE
# Density of states at the Fermi level (states/eV per atom): 2.26
data_PuPPt4
_cell_length_a 3.979
_cell_length_b 15.276
_cell_length_c 6.810
_cell_angle_alpha 90.00
_cell_angle_beta 90.00
_cell_angle_gamma 90.00
_space_group_name_H-M_alt 'C m c m'
_space_group_IT_number 63
_space_group_name_Hall '-C 2c 2'
loop_
_atom_site_label
_atom_site_fract_x
_atom_site_fract_y
_atom_site_fract_z
Pu1 0.000 0.105 0.250
P1 0.000 0.242 0.750
Pt1 0.000 0.083 0.750
Pt2 0.000 0.317 0.043
Pt3 0.000 0.500 0.000



22.
# RbPuP2Pt4, relaxed, DFT GGA-PBE
# Density of states at the Fermi level (states/eV per atom): 2.27
data_RbPuP2Pt4
_cell_length_a 4.028
_cell_length_b 4.028
_cell_length_c 11.192
_cell_angle_alpha 90.00
_cell_angle_beta 90.00
_cell_angle_gamma 90.00
_space_group_name_H-M_alt 'P 4/m m m'
_space_group_IT_number 123
_space_group_name_Hall '-P 4 2'
loop_
_atom_site_label
_atom_site_fract_x
_atom_site_fract_y
_atom_site_fract_z
Rb1 0.000 0.000 0.000
Pu1 0.000 0.000 0.500
P1 0.500 0.500 0.192
Pt1 0.000 0.500 0.300



23.
# Pu2P3PtRh12, relaxed, DFT GGA-PBE
# Density of states at the Fermi level (states/eV per atom): 1.36
data_Pu2P3PtRh12
_cell_length_a 8.4688
_cell_length_b 8.4688
_cell_length_c 14.1305
_cell_angle_alpha 90.00
_cell_angle_beta 90.00
_cell_angle_gamma 120.00
_space_group_name_H-M_alt 'R -3 m'
_space_group_IT_number 166
_space_group_name_Hall '-R 3 2"'
loop_
_atom_site_label
_atom_site_fract_x
_atom_site_fract_y
_atom_site_fract_z
Pu1 0.0000 0.0000 0.0994
P1 0.0000 0.5000 0.0000
Pt1 0.0000 0.0000 0.5000
Rh1 0.0276 0.5138 0.8397
Rh2 0.0434 0.5217 0.3648



24.
# Pu3P2PtRh9, relaxed, DFT GGA-PBE
# Density of states at the Fermi level (states/eV per atom): 3.12
data_Pu3P2PtRh9
_cell_length_a 5.9732
_cell_length_b 5.9732
_cell_length_c 9.2424
_cell_angle_alpha 90.00
_cell_angle_beta 90.00
_cell_angle_gamma 120.00
_space_group_name_H-M_alt 'P -3 m 1'
_space_group_IT_number 164
_space_group_name_Hall '-P 3 2"'
loop_
_atom_site_label
_atom_site_fract_x
_atom_site_fract_y
_atom_site_fract_z
Pu1 0.0000 0.0000 0.0000
Pu2 0.3333 0.6667 0.6556
P1 0.3333 0.6667 0.1596
Pt1 0.0000 0.0000 0.5000
Rh1 0.0000 0.5000 0.0000
Rh2 0.1500 0.2999 0.2727



Calculated volume in A^3/atom, matching the order above: 15.33 14.89 15.77 20.39 15.97 15.04 14.79 15.81 20.36 15.51 29.87 23.59 16.63 20.74 17.44 22.52 20.41 22.60 19.60 19.19 17.25 22.70 16.25 19.04
Final energy in eV per atom, matching the order above: -5.373 -5.705 -5.788 -5.623 -5.492 -4.972 -5.087 -5.079 -4.468 -5.816 -5.442 -10.890 -7.672 -10.869 -7.783 -10.797 -10.062 -10.273 -7.412 -9.459 -7.920 -6.862 -7.928 -8.729